Record 1
CrMoCl2 | PBE-GGA | optimized geometry

Lattice parameters (Å, degrees): 2.8921 2.8921 8.4744 90.00 90.00 90.00
Atoms (fractional coordinates):
Cr1 0.0000 0.0000 0.5104
Mo1 0.5000 0.5000 0.7281
Cl1 0.0000 0.0000 0.9176
Cl2 0.5000 0.5000 0.3440

Calculated values
As for the space group: P4mm (99). The calculation puts the volume at 70.9 Å³/f.u. As for the excess energy over the best structure of this formula in the dataset: 206 meV/atom. The uncorrected formation energy is -0.1 eV per formula unit.



Record 2
CuTcAg4 | PBE-GGA | optimized geometry

Lattice parameters (Å, degrees): 5.3713 5.3713 5.3713 60.00 60.00 60.00
Atoms (fractional coordinates):
Cu1 0.7500 0.7500 0.7500
Tc1 0.0000 0.0000 0.0000
Ag1 0.8747 0.3751 0.3751
Ag2 0.3751 0.3751 0.8747
Ag3 0.3751 0.8747 0.3751
Ag4 0.3751 0.3751 0.3751

Calculated values
As for the space group: F-43m (216). The calculation puts the formation energy at 0.7061 eV/atom. The calculation puts the volume at 109.6 Å³/f.u.



Record 3
Tb3InS6 | PBE-GGA | optimized geometry

Lattice parameters (Å, degrees): 6.6340 8.6191 8.6191 102.72 90.00 90.00
Atoms (fractional coordinates):
Tb1 0.4827 0.9121 0.7150
Tb2 0.9827 0.7150 0.9121
Tb3 0.3942 0.4041 0.5959
Tb4 0.8942 0.5959 0.4041
Tb5 0.9827 0.0879 0.2850
Tb6 0.4827 0.2850 0.0879
In1 0.0084 0.2012 0.7988
In2 0.5084 0.7988 0.2012
S1 0.1868 0.6928 0.6320
S2 0.6868 0.6320 0.6928
S3 0.2129 0.4440 0.9010
S4 0.7129 0.9010 0.4440
S5 0.1770 0.0328 0.9672
S6 0.6411 0.2201 0.7799
S7 0.1411 0.7799 0.2201
S8 0.6770 0.9672 0.0328
S9 0.2129 0.0990 0.5560
S10 0.7129 0.5560 0.0990
S11 0.1868 0.3680 0.3072
S12 0.6868 0.3072 0.3680

Calculated values
As for the space group: Cmc2_1 (36). The calculation puts the volume at 240.4 Å³/f.u. As for the excess energy over the best structure of this formula in the dataset: 0 meV/atom. The uncorrected formation energy is -17.0 eV per formula unit.



Record 4
K2SnGeO5 | PBE-GGA | optimized geometry

Lattice parameters (Å, degrees): 3.2013 8.0667 12.2193 90.00 90.00 101.44
Atoms (fractional coordinates):
K1 0.8662 0.7325 0.8286
K2 0.0785 0.1570 0.6444
K3 0.1338 0.2675 0.3286
K4 0.9215 0.8430 0.1444
Sn1 0.7772 0.5543 0.5444
Sn2 0.2228 0.4457 0.0444
Ge1 0.5696 0.1392 0.9222
Ge2 0.4304 0.8608 0.4222
O1 0.3414 0.6829 0.0065
O2 0.6839 0.3678 0.9242
O3 0.5141 0.0281 0.8039
O4 0.3002 0.6005 0.6473
O5 0.9432 0.8864 0.5024
O6 0.6586 0.3171 0.5065
O7 0.3161 0.6322 0.4242
O8 0.4859 0.9719 0.3039
O9 0.6998 0.3995 0.1473
O10 0.0568 0.1136 0.0024

Calculated values
As for the space group: Cmc2_1 (36). The calculation puts the volume at 154.6 Å³/f.u. The uncorrected formation energy is -14.2 eV per formula unit.



Record 5
K3P5 | PBE-GGA | optimized geometry

Lattice parameters (Å, degrees): 9.3683 10.1354 8.1573 104.50 99.97 130.22
Atoms (fractional coordinates):
P1 0.1245 0.6456 0.5000
P2 0.8630 0.3964 0.5000
P3 0.4724 0.7776 0.7312
P4 0.0124 0.6793 0.2564
P5 0.9255 0.8208 0.3494
P6 0.3725 0.5091 0.6570
P7 0.2560 0.9229 0.7436
P8 0.2411 0.5463 0.2688
P9 0.2155 0.3521 0.3430
P10 0.0762 0.9715 0.6506
K1 0.8952 0.8830 0.9616
K2 0.4336 0.4214 0.0384
K3 0.4349 0.2137 0.5000
K4 0.7613 0.0163 0.5000
K5 0.1728 0.6401 0.9363
K6 0.7364 0.2038 0.0637

Calculated values
As for the space group: Cm (8). The calculation puts the formation energy at -0.2558 eV/atom. The calculation puts the volume at 255.2 Å³/f.u. As for the excess energy over the best structure of this formula in the dataset: 0 meV/atom.



Record 6
LiFeCl3 | PBE-GGA | optimized geometry

Lattice parameters (Å, degrees): 4.8649 4.8649 4.8649 90.00 90.00 90.00
Atoms (fractional coordinates):
Li1 0.5000 0.5000 0.5000
Fe1 0.0000 0.0000 0.0000
Cl1 0.0000 0.5000 0.0000
Cl2 0.0000 0.0000 0.5000
Cl3 0.5000 0.0000 0.0000

Calculated values
As for the space group: Pm-3m (221). The calculation puts the volume at 115.1 Å³/f.u. As for the excess energy over the best structure of this formula in the dataset: 250 meV/atom. The uncorrected formation energy is -4.3 eV per formula unit.



Record 7
CuPdPt3 | PBE-GGA | optimized geometry

Lattice parameters (Å, degrees): 4.5388 4.5388 4.5388 90.00 90.00 90.00
Atoms (fractional coordinates):
Cu1 0.0000 0.0000 0.0000
Pd1 0.5000 0.5000 0.5000
Pt1 0.0000 0.5000 0.0000
Pt2 0.0000 0.0000 0.5000
Pt3 0.5000 0.0000 0.0000

Calculated values
As for the space group: Pm-3m (221). The calculation puts the formation energy at 1.0225 eV/atom. The calculation puts the volume at 93.5 Å³/f.u. As for the excess energy over the best structure of this formula in the dataset: 1044 meV/atom.



Record 8
La2MnAlHg | PBE-GGA | optimized geometry

Lattice parameters (Å, degrees): 5.1817 5.1817 4.8249 90.00 90.00 90.00
Atoms (fractional coordinates):
Al1 0.0000 0.0000 0.5000
Mn1 0.0000 0.0000 0.0000
Hg1 0.5000 0.5000 0.5000
La1 0.0000 0.5000 0.0000
La2 0.5000 0.0000 0.0000

Calculated values
As for the space group: P4/mmm (123). The calculation puts the formation energy at -0.1537 eV/atom. The calculation puts the volume at 129.5 Å³/f.u.



Record 9
Sc3CdW | PBE-GGA | optimized geometry

Lattice parameters (Å, degrees): 5.0982 5.0982 5.0982 90.00 90.00 90.00
Atoms (fractional coordinates):
Sc1 0.0000 0.5000 0.0000
Sc2 0.0000 0.0000 0.5000
Sc3 0.5000 0.0000 0.0000
W1 0.0000 0.0000 0.0000
Cd1 0.5000 0.5000 0.5000

Calculated values
As for the space group: Pm-3m (221). The calculation puts the formation energy at 0.5334 eV/atom. The calculation puts the volume at 132.5 Å³/f.u. As for the excess energy over the best structure of this formula in the dataset: 0 meV/atom.



Record 10
TbY3N3 | PBE-GGA | optimized geometry

Lattice parameters (Å, degrees): 6.1465 6.1465 9.3572 70.83 70.83 60.00
Atoms (fractional coordinates):
Tb1 0.3333 0.3333 0.0000
Tb2 0.6667 0.6667 0.0000
Y1 0.4213 0.7829 0.6936
Y2 0.7829 0.1022 0.6936
Y3 0.1022 0.4213 0.6936
Y4 0.8978 0.5787 0.3064
Y5 0.2171 0.8978 0.3064
Y6 0.5787 0.2171 0.3064
N1 0.3071 0.5727 0.1806
N2 0.9397 0.3071 0.1806
N3 0.5727 0.9397 0.1806
N4 0.4273 0.0603 0.8194
N5 0.0603 0.6929 0.8194
N6 0.6929 0.4273 0.8194

Calculated values
As for the space group: R-3 (148). The calculation puts the volume at 141.6 Å³/f.u. The uncorrected formation energy is -8.4 eV per formula unit.



Record 11
PuNp3N6 | PBE-GGA | optimized geometry

Lattice parameters (Å, degrees): 5.8983 5.8983 5.8451 59.70 59.70 60.00
Atoms (fractional coordinates):
Pu1 0.8723 0.8723 0.3832
Np1 0.3653 0.3653 0.9041
Np2 0.6430 0.6430 0.0710
Np3 0.1405 0.1405 0.5785
N1 0.9581 0.5133 0.2555
N2 0.2731 0.9581 0.2555
N3 0.5133 0.2731 0.2555
N4 0.0258 0.4508 0.7656
N5 0.7578 0.0258 0.7656
N6 0.4508 0.7578 0.7656

Calculated values
As for the space group: R3 (146). The calculation puts the volume at 143.1 Å³/f.u. As for the excess energy over the best structure of this formula in the dataset: 30 meV/atom. The uncorrected formation energy is -10.5 eV per formula unit.



Record 12
Pr3Zn8Rh | PBE-GGA | optimized geometry

Lattice parameters (Å, degrees): 5.3536 5.3536 9.9071 74.32 74.32 60.00
Atoms (fractional coordinates):
Pr1 0.3777 0.3777 0.8669
Pr2 0.9890 0.9890 0.0330
Pr3 0.5049 0.5049 0.4853
Zn1 0.9349 0.4316 0.2020
Zn2 0.4429 0.9380 0.6812
Zn3 0.4316 0.4316 0.2020
Zn4 0.9380 0.9380 0.6812
Zn5 0.1885 0.1885 0.4344
Zn6 0.6838 0.6838 0.9485
Zn7 0.4316 0.9349 0.2020
Zn8 0.9380 0.4429 0.6812
Rh1 0.8891 0.8891 0.3326

Calculated values
As for the space group: R3m (160). The calculation puts the formation energy at -0.2882 eV/atom. The calculation puts the volume at 233.6 Å³/f.u.



Record 13
TbBeSi2Ni2 | PBE-GGA | optimized geometry

Lattice parameters (Å, degrees): 4.1795 4.1795 5.1208 90.00 90.00 90.00
Atoms (fractional coordinates):
Tb1 0.0000 0.0000 0.5000
Be1 0.0000 0.0000 0.0000
Si1 0.5000 0.0000 0.0000
Si2 0.0000 0.5000 0.0000
Ni1 0.5000 0.5000 0.7459
Ni2 0.5000 0.5000 0.2541

Calculated values
As for the space group: P4/mmm (123). The calculation puts the volume at 89.4 Å³/f.u. The uncorrected formation energy is -0.5 eV per formula unit.



Record 14
Pr5TmBi4 | PBE-GGA | optimized geometry

Lattice parameters (Å, degrees): 4.5036 8.8014 10.0423 104.99 102.96 90.00
Atoms (fractional coordinates):
Pr1 0.8235 0.6485 0.6470
Pr2 0.8346 0.1803 0.6692
Pr3 0.1654 0.8197 0.3308
Pr4 0.5000 0.5000 0.0000
Pr5 0.1765 0.3515 0.3530
Tm1 0.5000 0.0000 0.0000
Bi1 0.3346 0.9170 0.6693
Bi2 0.9936 0.7537 0.9872
Bi3 0.6654 0.0830 0.3307
Bi4 0.0064 0.2463 0.0128

Calculated values
As for the space group: C2/m (12). The calculation puts the formation energy at -0.5514 eV/atom. The calculation puts the volume at 374.0 Å³/f.u.



Record 15
Ba2Zn6PdRh | PBE-GGA | optimized geometry

Lattice parameters (Å, degrees): 6.9689 6.9703 6.9842 60.06 60.06 90.03
Atoms (fractional coordinates):
Ba1 0.7500 0.2502 0.4998
Ba2 0.2500 0.7498 0.5001
Zn1 0.2517 0.2517 0.4965
Zn2 0.7484 0.7485 0.9999
Zn3 0.2517 0.7484 0.0000
Zn4 0.7483 0.2516 0.0000
Zn5 0.2516 0.2515 0.0001
Zn6 0.7483 0.7483 0.5035
Pd1 0.0000 0.0000 0.0000
Rh1 0.5000 0.5000 0.0000

Calculated values
As for the space group: I4/mmm (139). The calculation puts the formation energy at -0.3367 eV/atom. The calculation puts the volume at 240.3 Å³/f.u.



Record 16
La6PmSm2Th | PBE-GGA | optimized geometry

Lattice parameters (Å, degrees): 9.9149 6.8723 6.7817 120.44 112.38 90.00
Atoms (fractional coordinates):
La1 0.4154 0.6471 0.2942
La2 0.1720 0.0787 0.6207
La3 0.8280 0.4580 0.3793
La4 0.1720 0.5420 0.6207
La5 0.8280 0.9213 0.3793
La6 0.5846 0.3529 0.7058
Pm1 0.5000 0.0000 0.0000
Sm1 0.1898 0.0631 0.1262
Sm2 0.8102 0.9369 0.8738
Th1 0.0000 0.5000 0.0000

Calculated values
As for the space group: C2/m (12). The calculation puts the formation energy at 0.1844 eV/atom. The calculation puts the volume at 357.4 Å³/f.u.



Record 17
BaHf3Ir | PBE-GGA | optimized geometry

Lattice parameters (Å, degrees): 5.1143 5.1143 5.1143 90.00 90.00 90.00
Atoms (fractional coordinates):
Ir1 0.5000 0.5000 0.5000
Hf1 0.0000 0.5000 0.0000
Hf2 0.0000 0.0000 0.5000
Hf3 0.5000 0.0000 0.0000
Ba1 0.0000 0.0000 0.0000

Calculated values
As for the space group: Pm-3m (221). The calculation puts the formation energy at 2.4025 eV/atom. The calculation puts the volume at 133.8 Å³/f.u. As for the excess energy over the best structure of this formula in the dataset: 2266 meV/atom.



Record 18
PtSeIO2 | PBE-GGA | optimized geometry

Lattice parameters (Å, degrees): 3.8129 3.8129 7.1104 90.00 90.00 90.00
Atoms (fractional coordinates):
I1 0.0000 0.0000 0.5000
O1 0.0000 0.5000 0.0000
O2 0.5000 0.0000 0.0000
Se1 0.0000 0.0000 0.0000
Pt1 0.5000 0.5000 0.5000

Calculated values
As for the space group: P4/mmm (123). The calculation puts the volume at 103.4 Å³/f.u. As for the excess energy over the best structure of this formula in the dataset: 40 meV/atom. The uncorrected formation energy is 1.0 eV per formula unit.



Record 19
Ba2Sn3PdPt4 | PBE-GGA | optimized geometry

Lattice parameters (Å, degrees): 4.7142 4.7142 10.8468 90.00 90.00 90.00
Atoms (fractional coordinates):
Ba1 0.5000 0.0000 0.2561
Ba2 0.0000 0.5000 0.7439
Sn1 0.0000 0.0000 0.5000
Sn2 0.5000 0.0000 0.8789
Sn3 0.0000 0.5000 0.1211
Pd1 0.5000 0.5000 0.5000
Pt1 0.5000 0.5000 0.0000
Pt2 0.0000 0.0000 0.0000
Pt3 0.5000 0.0000 0.6319
Pt4 0.0000 0.5000 0.3681

Calculated values
As for the space group: P-4m2 (115). The calculation puts the formation energy at -0.6899 eV/atom. The calculation puts the volume at 241.1 Å³/f.u.



Record 20
Sc2InCl | PBE-GGA | optimized geometry

Lattice parameters (Å, degrees): 5.0216 5.0216 5.0216 60.00 60.00 60.00
Atoms (fractional coordinates):
Sc1 0.2500 0.2500 0.2500
Sc2 0.7500 0.7500 0.7500
Cl1 0.0000 0.0000 0.0000
In1 0.5000 0.5000 0.5000

Calculated values
As for the space group: Fm-3m (225). The calculation puts the volume at 89.5 Å³/f.u. As for the excess energy over the best structure of this formula in the dataset: 322 meV/atom. The uncorrected formation energy is -1.8 eV per formula unit.



Record 21
NiC2 | PBE-GGA | optimized geometry

Lattice parameters (Å, degrees): 2.4900 2.4900 3.4907 90.00 90.00 90.00
Atoms (fractional coordinates):
Ni1 0.0000 0.0000 0.0000
C1 0.0000 0.5000 0.5000
C2 0.5000 0.0000 0.5000

Calculated values
As for the space group: P4/mmm (123). The calculation puts the formation energy at 1.5880 eV/atom. The calculation puts the volume at 21.6 Å³/f.u. As for the excess energy over the best structure of this formula in the dataset: 1169 meV/atom.



Record 22
Cs2ZnSiS4 | PBE-GGA | optimized geometry

Lattice parameters (Å, degrees): 5.8548 7.5963 12.8273 84.95 76.81 67.33
Atoms (fractional coordinates):
Cs1 0.1772 0.0000 0.6456
Cs2 0.8228 0.0000 0.3544
Cs3 0.5728 0.5000 0.8544
Cs4 0.9272 0.5000 0.1456
Zn1 0.7500 0.5000 0.5000
Zn2 0.0000 0.0000 0.0000
Si1 0.2500 0.5000 0.5000
Si2 0.5000 0.0000 0.0000
S1 0.3166 0.8254 0.0959
S2 0.2379 0.1746 0.9041
S3 0.8580 0.8254 0.9041
S4 0.5875 0.1746 0.0959
S5 0.4334 0.6746 0.4041
S6 0.5121 0.3254 0.5959
S7 0.8920 0.6746 0.5959
S8 0.1625 0.3254 0.4041

Calculated values
As for the space group: Fddd (70). The calculation puts the volume at 256.3 Å³/f.u. The uncorrected formation energy is -8.5 eV per formula unit.



Record 23
Re3SI | PBE-GGA | optimized geometry

Lattice parameters (Å, degrees): 4.4686 4.4686 4.4686 90.00 90.00 90.00
Atoms (fractional coordinates):
I1 0.5000 0.5000 0.5000
Re1 0.0000 0.5000 0.0000
Re2 0.0000 0.0000 0.5000
Re3 0.5000 0.0000 0.0000
S1 0.0000 0.0000 0.0000

Calculated values
As for the space group: Pm-3m (221). The calculation puts the volume at 89.2 Å³/f.u. As for the excess energy over the best structure of this formula in the dataset: 0 meV/atom. The uncorrected formation energy is 7.8 eV per formula unit.



Record 24
TbLuCdPt | PBE-GGA | optimized geometry

Lattice parameters (Å, degrees): 5.0562 5.0562 5.0562 60.00 60.00 60.00
Atoms (fractional coordinates):
Lu1 0.5000 0.5000 0.5000
Tb1 0.0000 0.0000 0.0000
Pt1 0.7500 0.7500 0.7500
Cd1 0.2500 0.2500 0.2500

Calculated values
As for the space group: F-43m (216). The calculation puts the formation energy at -0.7389 eV/atom. The calculation puts the volume at 91.4 Å³/f.u.